# 1
{"formula": "Ac2SiBRu", "functional": "PBE-GGA", "state": "relaxed", "formation_energy_uncorrected_ev_per_fu": -1.3, "cell": [[4.236, 0.000, 0.000], [0.000, 4.236, 0.000], [0.000, 0.000, 14.882]], "species": ["Ac", "Ac", "Ac", "Ac", "Si", "Si", "B", "B", "Ru", "Ru"], "fractional_positions": [[0.250, 0.250, 0.099], [0.250, 0.250, 0.659], [0.750, 0.750, 0.341], [0.750, 0.750, 0.901], [0.250, 0.250, 0.868], [0.750, 0.750, 0.132], [0.250, 0.250, 0.455], [0.750, 0.750, 0.545], [0.250, 0.750, 0.500], [0.750, 0.250, 0.500]]}

=====

# 2
{"formula": "Ac2Si2BRu2", "functional": "PBE-GGA", "state": "relaxed", "formation_energy_uncorrected_ev_per_fu": -4.7, "cell": [[5.852, -2.150, 0.000], [5.852, 2.150, 0.000], [-4.715, 0.000, 5.892]], "species": ["Ac", "Ac", "Si", "Si", "B", "Ru", "Ru"], "fractional_positions": [[0.060, 0.060, 0.310], [0.940, 0.940, 0.690], [0.309, 0.309, 0.241], [0.691, 0.691, 0.759], [0.500, 0.500, 0.000], [0.301, 0.301, 0.913], [0.699, 0.699, 0.087]]}

=====

# 3
{"formula": "AcSiBRu3", "functional": "PBE-GGA", "state": "relaxed", "formation_energy_uncorrected_ev_per_fu": -2.1, "cell": [[2.949, -5.877, 0.000], [2.949, 5.877, 0.000], [0.000, 0.000, 5.902]], "species": ["Ac", "Ac", "Si", "Si", "B", "B", "Ru", "Ru", "Ru", "Ru", "Ru", "Ru"], "fractional_positions": [[0.247, 0.753, 0.750], [0.753, 0.247, 0.250], [0.111, 0.889, 0.250], [0.889, 0.111, 0.750], [0.497, 0.503, 0.250], [0.503, 0.497, 0.750], [0.253, 0.253, 0.000], [0.253, 0.253, 0.500], [0.317, 0.683, 0.250], [0.683, 0.317, 0.750], [0.747, 0.747, 0.000], [0.747, 0.747, 0.500]]}

=====

# 4
{"formula": "AcSn2BRu2", "functional": "PBE-GGA", "state": "relaxed", "energy_ev_per_fu": -39.6, "cell": [[4.349, 0.000, 0.000], [0.000, 4.349, 0.000], [0.000, 0.000, 6.269]], "species": ["Ac", "Sn", "Sn", "B", "Ru", "Ru"], "fractional_positions": [[0.000, 0.000, 0.000], [0.500, 0.500, 0.236], [0.500, 0.500, 0.764], [0.000, 0.000, 0.500], [0.000, 0.500, 0.500], [0.500, 0.000, 0.500]]}

=====

no.,ρ (g/cm³)
1,7.39
2,8.10
3,9.24
4,9.49